Entry from Alexandria: a relaxed NaLi2NiHg crystal (PBE).

## Properties
The value obtained for the formation energy is 642 meV/atom. The final energy is -8.0 eV for the cell shown.

abc: 4.6097 4.6097 4.7126
angles: 90.00 90.00 90.00
Closest atoms and distances in Å follow each position.
Space group P4/mmm (No. 123)
Asymmetric unit:
Na1 0.0000 0.0000 0.0000 x1  4 Li 2.30, 2 Ni 2.36
Li1 0.0000 0.5000 0.0000 x2  2 Na 2.30
Ni1 0.0000 0.0000 0.5000 x1  2 Na 2.36
Hg1 0.5000 0.5000 0.5000 x1  4 Ni 3.26, 8 Li 3.30

Entry from Alexandria: a relaxed LaY2BeB crystal (PBE).

## Properties
The value obtained for the formation energy is 411 meV/atom. The final energy is -26.2 eV for the cell shown.

abc: 5.5495 5.5495 3.6127
angles: 90.00 90.00 90.00
Closest atoms and distances in Å follow each position.
Space group P4/mmm (No. 123)
Asymmetric unit:
La1 0.0000 0.0000 0.0000 x1  8 Y 3.31, 2 La 3.61
Y1 0.0000 0.5000 0.5000 x2  2 Be 2.77
Be1 0.5000 0.5000 0.5000 x1  2 B 1.81
B1 0.5000 0.5000 0.0000 x1  2 Be 1.81

Entry from Alexandria: a relaxed FeNiAs2Se crystal (PBE).

## Properties
As for the uncorrected formation energy: 0.662 eV/atom. The final energy is -23.7 eV for the cell shown. The value obtained for the relative energy among the computed polymorphs is 0 meV per atom.

abc: 4.3577 4.3577 5.0667
angles: 90.00 90.00 90.00
Closest atoms and distances in Å follow each position.
Space group P4/mmm (No. 123)
Asymmetric unit:
Fe1 0.0000 0.0000 0.0000 x1  4 As 2.18
Ni1 0.5000 0.5000 0.5000 x1  4 Se 3.08, 8 As 3.34
As1 0.0000 0.5000 0.0000 x2  2 Fe 2.18
Se1 0.0000 0.0000 0.5000 x1  2 Fe 2.53

Entry from Alexandria: a relaxed Pr5NpP6 crystal (PBE).

## Properties
The value obtained for the formation energy is -1398 meV/atom. The final energy is -172.1 eV for the cell shown.

abc: 7.2054 12.4775 7.2029
angles: 90.00 109.48 90.00
Closest atoms and distances in Å follow each position.
Space group C2/m (No. 12)
Asymmetric unit:
Pr1 0.0000 0.0000 0.0000 x2  6 P 2.94-3.05
Pr2 0.0000 0.1660 0.5000 x4  6 P 2.95-2.96
Pr3 0.0000 0.3311 0.0000 x4  6 P 2.94-3.03
Np1 0.0000 0.5000 0.5000 x2  6 P 2.83-2.84
P1 0.2392 0.5000 0.2577 x4  1 Np 2.83, 5 Pr 2.95-3.05
P2 0.2409 0.3397 0.7423 x8  1 Np 2.84, 5 Pr 2.94-3.03

Entry from Alexandria: a relaxed AlSbTeO6 crystal (PBE).

## Properties
As for the uncorrected formation energy: -1.613 eV/atom. The final energy is -110.6 eV for the cell shown.

abc: 5.1173 5.1173 9.8456
angles: 90.00 90.00 120.00
Closest atoms and distances in Å follow each position.
Space group P-31c (No. 163)
Asymmetric unit:
Al1 0.3333 0.6667 0.2500 x2  6 O 1.93
Sb1 0.0000 0.0000 0.0000 x2  6 O 2.35
Te1 0.3333 0.6667 0.7500 x2  6 O 1.96
O1 0.0039 0.3703 0.1417 x12  1 Al 1.93, 1 Te 1.96

Entry from Alexandria: a relaxed Zr2TcTe crystal (PBE).

## Properties
As for the uncorrected formation energy: -0.284 eV/atom. The final energy is -95.2 eV for the cell shown.

abc: 3.5414 3.5414 24.1766
angles: 90.00 90.00 120.00
Closest atoms and distances in Å follow each position.
Space group R-3m (No. 166, hexagonal axes)
Asymmetric unit:
Zr1 0.0000 0.0000 0.2427 x6  3 Tc 2.75, 3 Te 3.00
Tc1 0.0000 0.0000 0.5000 x3  6 Zr 2.75
Te1 0.0000 0.0000 0.0000 x3  6 Zr 3.00